Compound: PrTlPO4
Source: the Alexandria database
Functional: PBE
Structure: optimized geometry

```
PrTlPO4
1.0
-1.188 -1.808 5.839
-2.340 -5.667 1.089
3.536 -4.365 2.689
O Pr Tl P
4 1 1 1
Direct
0.352 0.945 0.352
0.352 0.352 0.945
0.352 0.352 0.352
0.945 0.352 0.352
0.500 0.500 0.500
0.750 0.750 0.750
0.250 0.250 0.250
```

DFT total energy in eV/f.u.: -47.3
Total moment in μB per cell: 0.96

---

Compound: Ba2AlBr
Source: the Alexandria database
Functional: PBE
Structure: optimized geometry

```
Ba2AlBr
1.0
-4.088 -0.764 -4.177
-1.416 -5.438 -1.779
-5.251 -2.285 1.398
Br Ba Al
1 2 1
Direct
0.750 0.750 0.750
0.250 0.250 0.250
0.000 0.000 0.000
0.500 0.500 0.500
```

DFT total energy in eV/f.u.: -9.9
Total moment in μB per cell: 0.02

---

Compound: Pu6Tl4Br19
Source: the Alexandria database
Functional: PBE
Structure: optimized geometry

```
Pu6Tl4Br19
1.0
10.534 0.000 -3.724
-5.267 9.123 -3.724
0.000 0.000 11.173
Br Tl Pu
19 4 6
Direct
0.767 0.024 0.352
0.257 0.233 0.584
0.351 0.351 0.000
0.024 0.352 0.767
0.649 0.000 0.649
0.000 0.649 0.649
0.976 0.743 0.327
0.352 0.767 0.024
0.416 0.648 0.673
0.648 0.673 0.416
0.649 0.649 0.000
0.000 0.351 0.351
0.233 0.584 0.257
0.351 0.000 0.351
0.327 0.976 0.743
0.743 0.327 0.976
0.584 0.257 0.233
0.000 0.000 0.000
0.673 0.416 0.648
0.706 0.000 0.000
0.000 0.706 0.000
0.000 0.000 0.706
0.294 0.294 0.294
0.500 0.829 0.329
0.671 0.500 0.171
0.829 0.329 0.500
0.171 0.671 0.500
0.500 0.171 0.671
0.329 0.500 0.829
```

DFT total energy in eV/f.u.: -166.2
Total moment in μB per cell: 33.00

---

Compound: Tm5PuHg6
Source: the Alexandria database
Functional: PBE
Structure: optimized geometry

```
Tm5PuHg6
1.0
4.949 0.004 -1.523
-0.820 6.946 -2.647
0.054 -0.599 8.977
Hg Tm Pu
6 5 1
Direct
0.171 0.431 0.341
0.829 0.569 0.659
0.171 0.910 0.341
0.829 0.090 0.659
0.500 0.267 0.000
0.500 0.733 0.000
0.341 0.841 0.683
0.659 0.159 0.317
0.670 0.670 0.340
0.330 0.330 0.660
0.000 0.500 0.000
0.000 0.000 0.000
```

Total moment in μB per cell: 6.19
E_form in kcal/mol of atoms: -9.4

---

Compound: Hf2NbTl
Source: the Alexandria database
Functional: PBE
Structure: optimized geometry

```
Hf2NbTl
1.0
-3.064 0.691 3.989
-0.181 -5.005 0.728
10.533 0.777 7.957
Tl Nb Hf
4 4 8
Direct
0.500 0.500 0.428
0.000 0.000 0.429
0.000 0.000 0.928
0.500 0.500 0.929
0.500 0.000 0.561
0.500 0.500 0.175
0.000 0.500 0.061
0.000 0.000 0.675
0.500 0.000 0.791
0.000 0.500 0.559
0.000 0.000 0.171
0.500 0.500 0.671
0.000 0.500 0.291
0.000 0.500 0.799
0.500 0.000 0.059
0.500 0.000 0.299
```

Total moment in μB per cell: 0.00
E_form in kcal/mol of atoms: 1.5